Entry 1:
Ba4GeO | the Alexandria database | PBE | optimized geometry; D(E_F) = 8.7 states/eV per cell; VASP energy = -46.70 eV per cell; symmetry = C2/c (15); magnetic moment = 1.3 Bohr magnetons per cell; theoretical density = 3.88 g cm⁻³
1.0
4.755 -7.538 0.000
4.755 7.538 0.000
-4.570 0.000 7.625
Ba Ge O
8 2 2
Cartesian
-0.494 3.884 6.675
-0.322 0.614 3.787
-2.607 -0.614 7.600
3.148 3.884 4.763
1.791 -3.884 2.863
7.546 0.614 0.026
5.261 -0.614 3.839
5.433 -3.884 0.950
3.612 5.512 1.906
1.327 -5.512 5.719
1.327 5.447 5.719
3.612 -5.447 1.906

---

Entry 2:
Ba10Ge7O3 | the Alexandria database | PBE | optimized geometry; D(E_F) = 7.0 states/eV per cell; VASP energy = -88.72 eV per cell; symmetry = P-6m2 (187); magnetic moment = 0.7 Bohr magnetons per cell; theoretical density = 5.05 g cm⁻³
1.0
12.045 0.000 0.000
-6.023 10.431 0.000
0.000 0.000 5.053
Ba Ge O
10 7 3
Cartesian
0.000 0.000 0.000
-2.973 5.238 2.527
0.000 4.360 0.000
-2.247 8.251 0.000
3.809 2.199 0.000
2.973 5.238 2.527
0.000 10.387 2.527
2.247 8.251 0.000
8.236 2.199 0.000
6.023 6.033 0.000
2.531 0.007 2.527
1.272 2.189 2.527
0.000 6.954 2.527
9.514 0.007 2.527
4.763 8.235 2.527
10.773 2.189 2.527
7.282 8.235 2.527
6.023 0.697 0.000
3.615 4.867 0.000
8.430 4.867 0.000

---

Entry 3:
Ba3GeO5 | the Alexandria database | PBE | optimized geometry; D(E_F) = 0.0 states/eV per cell; symmetry = R3m (160); energy relative to the lowest polymorph listed for this composition = 22 kJ/mol of formula units; magnetic moment = 0.1 Bohr magnetons per cell; theoretical density = 5.19 g cm⁻³
1.0
4.036 2.330 9.606
-4.036 2.330 9.606
0.000 -4.660 9.606
Ba Ge O
9 3 15
Cartesian
-1.896 -1.094 9.606
0.000 -2.193 6.379
-1.899 1.096 6.379
0.000 -2.317 12.798
-2.007 1.159 12.798
1.896 -1.094 9.606
0.000 2.189 9.606
1.899 1.096 6.379
2.007 1.159 12.798
0.000 0.000 28.811
0.000 0.000 16.135
0.000 0.000 22.501
-2.572 -1.485 12.295
0.000 0.000 1.778
0.000 -2.965 9.025
-2.568 1.483 9.025
0.000 0.000 4.754
0.000 0.000 8.004
0.000 0.000 11.286
0.000 -1.684 15.523
-1.458 0.842 15.523
0.000 0.000 17.932
2.572 -1.485 12.295
0.000 2.969 12.295
2.568 1.483 9.025
1.458 0.842 15.523
0.000 0.000 24.300

---

Entry 4:
Ba6Ge3O | the Alexandria database | PBE | optimized geometry; D(E_F) = 21.7 states/eV per cell; VASP energy = -75.03 eV per cell; symmetry = R-3 (148); magnetic moment = 4.1 Bohr magnetons per cell; theoretical density = 4.33 g cm⁻³
1.0
6.878 3.971 4.950
-6.878 3.971 4.950
0.000 -7.941 4.950
Ba Ge O
12 6 2
Cartesian
-4.485 -4.355 8.408
-6.014 1.707 6.442
-1.513 -1.911 5.845
1.529 -6.061 6.442
-0.899 2.266 5.845
-2.412 0.355 9.004
2.412 -0.355 5.845
0.899 -2.266 9.004
-1.529 6.061 8.408
1.513 1.911 9.004
6.014 -1.707 8.408
4.485 4.355 6.442
-4.609 -1.322 7.248
-1.160 -4.653 7.602
-3.449 3.331 7.602
3.449 -3.331 7.248
1.160 4.653 7.248
4.609 1.322 7.602
0.000 0.000 0.000
0.000 0.000 7.425

---

What is the formula in the fourth record?
Ba6Ge3O